Below is a relaxed AlCoN2F crystal, with properties calculated at the PBE with a Hubbard U level.

The structure in CIF format:
```
data_AlCoN2F
_chemical_formula_sum 'Al1 Co1 N2 F1'
_symmetry_space_group_name_H-M 'P 4/m m m'
_symmetry_Int_Tables_number 123
_symmetry_space_group_name_Hall '-P 4 2'
_cell_length_a 3.717
_cell_length_b 3.717
_cell_length_c 3.821
_cell_angle_alpha 90.00
_cell_angle_beta 90.00
_cell_angle_gamma 90.00
loop_
_atom_site_label
_atom_site_type_symbol
_atom_site_fract_x
_atom_site_fract_y
_atom_site_fract_z
Al1 Al 0.000 0.000 0.000
Co1 Co 0.500 0.500 0.500
N1 N 0.000 0.500 0.500
F1 F 0.500 0.500 0.000
```

Calculated values
Offset from the most stable computed form = 455 meV per atom
M_tot = 2.42 μB/f.u.
VASP energy = -5.05 eV per atom